TaAlBr GGA-PBE optimized geometry; E_form (uncorrected) = 0.06 eV per atom; volume = 68.1 Å³/cell; magnetic moment = 0.00 μB/f.u.; energy above the most stable polymorph in this dataset = 0.931 eV/f.u.
1.0
3.115 0.000 0.000
-1.557 2.698 0.000
0.000 0.000 8.110
Al Br Ta
1 1 1
Cartesian
0.000 0.000 7.538
1.557 0.899 3.375
0.000 1.798 5.307